## Zr2CrAsPd (PBE)

Data for Zr2CrAsPd after structural relaxation.

## Properties
total magnetization = 0.03 μB/atom
density of states at the Fermi level = 9.0 states/eV/f.u.
V = 113 Å³/cell
energy of formation from the pure elements = 606 meV per atom

The structure in POSCAR format:
```
Zr2CrAsPd
1.0
4.9943 0.0000 0.0000
0.0000 4.9943 0.0000
0.0000 0.0000 4.5122
Zr Cr As Pd
2 1 1 1
Cartesian
0.0000 2.4971 0.0000
2.4971 0.0000 0.0000
0.0000 0.0000 2.2561
2.4971 2.4971 0.0000
2.4971 2.4971 2.2561
```